(1)
MgAsAu | GGA-PBE | relaxed

The structure in CIF format:
```
data_MgAsAu
_chemical_formula_sum 'Mg2 As2 Au2'
_cell_length_a 7.894
_cell_length_b 4.618
_cell_length_c 4.318
_cell_angle_alpha 61.97
_cell_angle_beta 73.70
_cell_angle_gamma 66.59
_space_group_name_H-M_alt 'P 1'
_space_group_IT_number 1
_space_group_name_Hall 'P 1'
loop_
_atom_site_label
_atom_site_type_symbol
_atom_site_fract_x
_atom_site_fract_y
_atom_site_fract_z
Mg1 Mg 0.239 0.911 0.341
Mg2 Mg 0.771 0.124 0.973
Au1 Au 0.909 0.685 0.624
Au2 Au 0.619 0.566 0.329
As1 As 0.528 0.994 0.660
As2 As 0.125 0.593 0.059
```

Calculated values
* E: -3.455 eV/atom
* volume: 126.7 Å³/cell
* SG: P1, No. 1
* ΔE_f: -281 meV per atom



(2)
Na4Tl5Pd | GGA-PBE | relaxed

The structure in CIF format:
```
data_Na4Tl5Pd
_chemical_formula_sum 'Na4 Tl5 Pd1'
_cell_length_a 5.311
_cell_length_b 7.950
_cell_length_c 7.950
_cell_angle_alpha 83.59
_cell_angle_beta 70.49
_cell_angle_gamma 70.49
_space_group_name_H-M_alt 'P 1'
_space_group_IT_number 1
_space_group_name_Hall 'P 1'
loop_
_atom_site_label
_atom_site_type_symbol
_atom_site_fract_x
_atom_site_fract_y
_atom_site_fract_z
Na1 Na 0.812 0.688 0.688
Na2 Na 0.499 0.312 0.688
Na3 Na 0.499 0.688 0.312
Na4 Na 0.187 0.312 0.312
Tl1 Tl 0.185 0.628 0.000
Tl2 Tl 0.185 0.000 0.628
Tl3 Tl 0.813 0.000 0.372
Tl4 Tl 0.813 0.372 0.000
Tl5 Tl 0.499 0.000 0.000
Pd1 Pd 0.999 0.000 0.000
```

Calculated values
* relative energy among the computed polymorphs: 0.44 kcal/mol of atoms
* E: -2.329 eV/atom
* volume: 298.3 Å³/cell
* SG: I4/mmm, No. 139
* ΔE_f: -99 meV per atom



(3)
RbMg2Cu2 | GGA-PBE | relaxed

The structure in CIF format:
```
data_RbMg2Cu2
_chemical_formula_sum 'Rb1 Mg2 Cu2'
_cell_length_a 4.621
_cell_length_b 4.621
_cell_length_c 6.580
_cell_angle_alpha 69.44
_cell_angle_beta 69.44
_cell_angle_gamma 90.00
_space_group_name_H-M_alt 'P 1'
_space_group_IT_number 1
_space_group_name_Hall 'P 1'
loop_
_atom_site_label
_atom_site_type_symbol
_atom_site_fract_x
_atom_site_fract_y
_atom_site_fract_z
Mg1 Mg 0.750 0.250 0.500
Mg2 Mg 0.250 0.750 0.500
Cu1 Cu 0.388 0.388 0.225
Cu2 Cu 0.612 0.612 0.775
Rb1 Rb 0.000 0.000 0.000
```

Calculated values
* relative energy among the computed polymorphs: 0.00 kcal/mol of atoms
* E: -2.248 eV/atom
* volume: 121.9 Å³/cell
* SG: I4/mmm, No. 139
* ΔE_f: 222 meV per atom



(4)
DyHo3Pd4 | GGA-PBE | relaxed

The structure in CIF format:
```
data_DyHo3Pd4
_chemical_formula_sum 'Dy2 Ho6 Pd8'
_cell_length_a 4.992
_cell_length_b 6.848
_cell_length_c 9.985
_cell_angle_alpha 90.00
_cell_angle_beta 90.00
_cell_angle_gamma 90.00
_space_group_name_H-M_alt 'P 1'
_space_group_IT_number 1
_space_group_name_Hall 'P 1'
loop_
_atom_site_label
_atom_site_type_symbol
_atom_site_fract_x
_atom_site_fract_y
_atom_site_fract_z
Ho1 Ho 0.000 0.000 0.000
Ho2 Ho 0.000 0.000 0.500
Ho3 Ho 0.500 0.000 0.750
Ho4 Ho 0.500 0.000 0.250
Ho5 Ho 0.500 0.500 0.750
Ho6 Ho 0.500 0.500 0.250
Pd1 Pd 0.500 0.751 0.000
Pd2 Pd 0.500 0.751 0.500
Pd3 Pd 0.500 0.249 0.000
Pd4 Pd 0.500 0.249 0.500
Pd5 Pd 0.000 0.751 0.750
Pd6 Pd 0.000 0.751 0.250
Pd7 Pd 0.000 0.249 0.250
Pd8 Pd 0.000 0.249 0.750
Dy1 Dy 0.000 0.500 0.000
Dy2 Dy 0.000 0.500 0.500
```

Calculated values
* E: -5.791 eV/atom
* volume: 341.3 Å³/cell
* SG: P4/mmm, No. 123
* ΔE_f: -903 meV per atom



(5)
NaSi2HOs | GGA-PBE | relaxed

The structure in CIF format:
```
data_NaSi2HOs
_chemical_formula_sum 'Na1 Si2 H1 Os1'
_cell_length_a 4.033
_cell_length_b 3.710
_cell_length_c 4.033
_cell_angle_alpha 90.00
_cell_angle_beta 90.00
_cell_angle_gamma 90.00
_space_group_name_H-M_alt 'P 1'
_space_group_IT_number 1
_space_group_name_Hall 'P 1'
loop_
_atom_site_label
_atom_site_type_symbol
_atom_site_fract_x
_atom_site_fract_y
_atom_site_fract_z
Na1 Na 0.000 0.500 0.000
Si1 Si 0.000 0.000 0.500
Si2 Si 0.500 0.000 0.000
Os1 Os 0.500 0.500 0.500
H1 H 0.000 0.000 0.000
```

Calculated values
* E: -4.786 eV/atom
* volume: 60.4 Å³/cell
* SG: P4/mmm, No. 123



(6)
InB2WSe | GGA-PBE | relaxed

The structure in CIF format:
```
data_InB2WSe
_chemical_formula_sum 'In1 B2 W1 Se1'
_cell_length_a 4.144
_cell_length_b 5.127
_cell_length_c 4.144
_cell_angle_alpha 90.00
_cell_angle_beta 90.00
_cell_angle_gamma 90.00
_space_group_name_H-M_alt 'P 1'
_space_group_IT_number 1
_space_group_name_Hall 'P 1'
loop_
_atom_site_label
_atom_site_type_symbol
_atom_site_fract_x
_atom_site_fract_y
_atom_site_fract_z
B1 B 0.000 0.000 0.500
B2 B 0.500 0.000 0.000
Se1 Se 0.000 0.000 0.000
W1 W 0.000 0.500 0.000
In1 In 0.500 0.500 0.500
```

Calculated values
* E: -4.600 eV/atom
* volume: 88.0 Å³/cell
* SG: P4/mmm, No. 123
* energy relative to the elements, uncorrected: 1906 meV per atom



(7)
Sr2CaAlCu | GGA-PBE | relaxed

The structure in CIF format:
```
data_Sr2CaAlCu
_chemical_formula_sum 'Sr2 Ca1 Al1 Cu1'
_cell_length_a 5.960
_cell_length_b 5.960
_cell_length_c 4.793
_cell_angle_alpha 90.00
_cell_angle_beta 90.00
_cell_angle_gamma 90.00
_space_group_name_H-M_alt 'P 1'
_space_group_IT_number 1
_space_group_name_Hall 'P 1'
loop_
_atom_site_label
_atom_site_type_symbol
_atom_site_fract_x
_atom_site_fract_y
_atom_site_fract_z
Sr1 Sr 0.000 0.500 0.000
Sr2 Sr 0.500 0.000 0.000
Ca1 Ca 0.500 0.500 0.500
Al1 Al 0.000 0.000 0.500
Cu1 Cu 0.000 0.000 0.000
```

Calculated values
* E: -2.638 eV/atom
* volume: 170.2 Å³/cell
* SG: P4/mmm, No. 123
* ΔE_f: 2 meV per atom



(8)
LiHf2AgO | GGA-PBE | relaxed

The structure in CIF format:
```
data_LiHf2AgO
_chemical_formula_sum 'Li1 Hf2 Ag1 O1'
_cell_length_a 4.414
_cell_length_b 4.414
_cell_length_c 3.979
_cell_angle_alpha 90.00
_cell_angle_beta 90.00
_cell_angle_gamma 90.00
_space_group_name_H-M_alt 'P 1'
_space_group_IT_number 1
_space_group_name_Hall 'P 1'
loop_
_atom_site_label
_atom_site_type_symbol
_atom_site_fract_x
_atom_site_fract_y
_atom_site_fract_z
Hf1 Hf 0.000 0.500 0.000
Hf2 Hf 0.500 0.000 0.000
O1 O 0.000 0.000 0.000
Ag1 Ag 0.500 0.500 0.500
Li1 Li 0.000 0.000 0.500
```

Calculated values
* E: -6.936 eV/atom
* volume: 77.5 Å³/cell
* SG: P4/mmm, No. 123
* energy relative to the elements, uncorrected: -1010 meV per atom



(9)
PuScIrRu | GGA-PBE | relaxed

The structure in CIF format:
```
data_PuScIrRu
_chemical_formula_sum 'Pu1 Sc1 Ir1 Ru1'
_cell_length_a 4.686
_cell_length_b 4.686
_cell_length_c 4.686
_cell_angle_alpha 60.00
_cell_angle_beta 60.00
_cell_angle_gamma 60.00
_space_group_name_H-M_alt 'P 1'
_space_group_IT_number 1
_space_group_name_Hall 'P 1'
loop_
_atom_site_label
_atom_site_type_symbol
_atom_site_fract_x
_atom_site_fract_y
_atom_site_fract_z
Sc1 Sc 0.000 0.000 0.000
Ru1 Ru 0.250 0.250 0.250
Ir1 Ir 0.750 0.750 0.750
Pu1 Pu 0.500 0.500 0.500
```

Calculated values
* E: -10.228 eV/atom
* volume: 72.7 Å³/cell
* SG: F-43m, No. 216
* ΔE_f: -528 meV per atom